A relaxed PmNdY2 crystal, computed with PBE-GGA.

a = 6.2692 Å, b = 3.6164 Å, c = 13.0226 Å
α = 73.88°, β = 76.47°, γ = 73.42°
Fractional coordinates of all 8 atoms:
Pm1 0.2015 0.4211 0.2958
Nd1 0.7006 0.0470 0.4196
Y1 0.2002 0.6707 0.5460
Nd2 0.2016 0.9198 0.7964
Y2 0.7023 0.2958 0.6699
Y3 0.7012 0.7965 0.1697
Pm2 0.7003 0.5457 0.9201
Y4 0.2003 0.1703 0.0463

Calculated values
The crystal system is triclinic. For the volume, the calculation gives 268 Å³/cell. The value obtained for the electronic total energy is -5.596 eV/atom. The symmetry is P-1 (2).

A relaxed GaTc crystal, computed with PBE-GGA.

a = 9.5021 Å, b = 4.5709 Å, c = 5.4166 Å
α = 90.00°, β = 90.00°, γ = 90.00°
Fractional coordinates of all 16 atoms:
Tc1 0.4063 0.2500 0.4916
Tc2 0.8295 0.7500 0.2674
Tc3 0.6705 0.2500 0.7674
Ga1 0.8327 0.7500 0.7687
Tc4 0.3295 0.7500 0.2326
Ga2 0.3327 0.7500 0.7313
Ga3 0.9217 0.2500 0.5074
Ga4 0.1673 0.2500 0.2314
Tc5 0.1705 0.2500 0.7326
Ga5 0.6673 0.2500 0.2686
Ga6 0.5783 0.7500 0.0074
Ga7 0.4217 0.2500 0.9926
Tc6 0.0937 0.7500 0.9916
Tc7 0.5937 0.7500 0.5084
Tc8 0.9063 0.2500 0.0084
Ga8 0.0783 0.7500 0.4926

Calculated values
The crystal system is orthorhombic. For the volume, the calculation gives 235 Å³/cell. The value obtained for the electronic total energy is -6.756 eV/atom. The symmetry is Pnma (62).

A relaxed Ca2AlZn10 crystal, computed with PBE-GGA.

a = 5.4368 Å, b = 7.2094 Å, c = 13.4260 Å
α = 90.00°, β = 113.93°, γ = 90.00°
Fractional coordinates of all 26 atoms:
Zn1 0.8898 0.3196 0.6516
Ca1 0.3986 0.2566 0.8994
Zn2 0.8050 0.9946 0.3062
Zn3 0.1102 0.6804 0.3484
Zn4 0.7863 0.1111 0.7874
Ca2 0.6014 0.7434 0.1006
Zn5 0.1102 0.8196 0.8484
Al1 0.0000 0.5000 0.5000
Zn6 0.4131 0.1806 0.1508
Ca3 0.3986 0.2434 0.3994
Zn7 0.2137 0.6111 0.7126
Zn8 0.1950 0.0054 0.6938
Zn9 0.7863 0.3889 0.2874
Zn10 0.2137 0.8889 0.2126
Zn11 0.1950 0.4946 0.1938
Zn12 0.0032 0.8375 0.5025
Zn13 0.9968 0.1625 0.4975
Zn14 0.4131 0.3194 0.6508
Al2 0.0000 0.0000 0.0000
Zn15 0.8050 0.5054 0.8062
Zn16 0.9968 0.3375 0.9975
Zn17 0.0032 0.6625 0.0025
Zn18 0.5869 0.6806 0.3492
Ca4 0.6014 0.7566 0.6006
Zn19 0.5869 0.8194 0.8492
Zn20 0.8898 0.1804 0.1516

Calculated values
The crystal system is monoclinic. For the volume, the calculation gives 481 Å³/cell. The value obtained for the electronic total energy is -1.734 eV/atom. The symmetry is P2_1/c (14).

A relaxed TbNd6Ho3Tm2 crystal, computed with PBE-GGA.

a = 6.2538 Å, b = 6.2538 Å, c = 11.8016 Å
α = 95.05°, β = 95.05°, γ = 119.99°
Fractional coordinates of all 12 atoms:
Nd1 0.4174 0.0836 0.2497
Tm1 0.3334 0.6666 0.0000
Ho1 0.8332 0.1668 0.5000
Ho2 0.1668 0.8332 0.5000
Ho3 0.5000 0.5000 0.5000
Nd2 0.2500 0.2500 0.7504
Nd3 0.0836 0.4174 0.2497
Nd4 0.7500 0.7500 0.2496
Tm2 0.6666 0.3334 0.0000
Nd5 0.9164 0.5826 0.7503
Nd6 0.5826 0.9164 0.7503
Tb1 0.0000 0.0000 0.0000

Calculated values
The crystal system is monoclinic. For the volume, the calculation gives 394 Å³/cell. The value obtained for the electronic total energy is -4.647 eV/atom. The symmetry is C2/m (12).

A relaxed DyLuZr2 crystal, computed with PBE-GGA.

a = 3.8940 Å, b = 3.8940 Å, c = 6.8815 Å
α = 90.00°, β = 90.00°, γ = 90.00°
Fractional coordinates of all 4 atoms:
Zr1 0.0000 0.0000 0.2281
Zr2 0.0000 0.0000 0.7719
Lu1 0.5000 0.5000 0.0000
Dy1 0.5000 0.5000 0.5000

Calculated values
The crystal system is tetragonal. For the volume, the calculation gives 104 Å³/cell. The value obtained for the electronic total energy is -6.347 eV/atom. The symmetry is P4/mmm (123).

A relaxed La6TcN2Cl3 crystal, computed with PBE-GGA.

a = 3.8287 Å, b = 8.8905 Å, c = 9.4220 Å
α = 111.23°, β = 101.72°, γ = 90.00°
Fractional coordinates of all 12 atoms:
Cl1 0.1660 0.8273 0.3320
N1 0.8302 0.6560 0.6603
Tc1 0.5000 0.0000 0.0000
Cl2 0.5000 0.5000 0.0000
Cl3 0.8340 0.1727 0.6680
La1 0.6843 0.5577 0.3686
La2 0.9757 0.7417 0.9513
La3 0.3426 0.8668 0.6852
N2 0.1698 0.3440 0.3397
La4 0.0243 0.2583 0.0487
La5 0.3157 0.4423 0.6314
La6 0.6574 0.1332 0.3148

Calculated values
The crystal system is monoclinic. For the volume, the calculation gives 292 Å³/cell. The value obtained for the electronic total energy is -6.471 eV/atom. The symmetry is C2/m (12).

What DOS(E_F) values result from the calculations? In sequence: 5.743, 1.420, 4.426, 12.836, 6.659, 4.664 states/eV/f.u..